Record 1
The following is a PBE-GGA calculation of an optimized crystal structure of MnBeIr2, from the Alexandria database.

Output
Formation energy from the elements in eV/atom: -0.3379
Volume in Å³/atom: 12.0
Magnetization in μB per atom: 0.242
Space-group type: P4/mmm, No. 123

```
4
Lattice="-2.357 0.636 -1.261 -0.335 -2.635 -0.704 -3.160 -1.037 5.386" Properties=species:S:1:pos:R:3 pbc="T T T"
Be -3.716 -1.777 3.057
Ir -3.088 -1.014 5.263
Ir -1.652 -0.542 2.815
Mn -2.136 -1.259 0.364
```

Record 2
The following is a PBE-GGA calculation of an optimized crystal structure of Ba3Ca2TaO8, from the Alexandria database.

Output
Formation energy without anion corrections in eV per atom: -2.595
Volume in Å³/atom: 18.0
Magnetization in μB per atom: 0.080
Space-group type: P-3m1, No. 164

```
14
Lattice="6.073 0.000 0.000 -3.036 5.259 0.000 0.000 0.000 7.878" Properties=species:S:1:pos:R:3 pbc="T T T"
Ba 0.000 3.506 4.924
Ba 3.036 1.753 2.954
Ba 0.000 0.000 0.000
Ca 0.000 3.506 1.572
Ca 3.036 1.753 6.306
Ta 0.000 0.000 3.939
O 0.000 3.506 7.330
O 3.036 1.753 0.547
O -1.638 4.452 2.738
O 4.675 0.807 5.140
O 0.000 1.615 2.738
O 3.036 3.645 5.140
O 1.638 4.452 2.738
O 1.398 0.807 5.140
```

Record 3
The following is a PBE-GGA calculation of an optimized crystal structure of Y3Th5Sb8, from the Alexandria database.

Output
Formation energy without anion corrections in eV per atom: -1.004
Volume in Å³/atom: 31.5
Magnetization in μB per atom: 0.000
Space-group type: R-3m, No. 166

```
16
Lattice="0.464 7.817 4.318 -4.745 1.269 7.472 4.131 0.513 7.887" Properties=species:S:1:pos:R:3 pbc="T T T"
Y 2.298 4.165 6.102
Y 2.066 0.256 3.944
Y -0.307 0.891 7.679
Th 0.232 3.908 2.159
Th -2.140 4.543 5.895
Th 0.000 0.000 0.000
Th -2.373 0.634 3.736
Th -0.075 4.799 9.838
Sb 2.004 2.653 8.816
Sb -0.397 3.295 12.596
Sb 2.239 6.607 11.000
Sb -0.157 7.219 14.726
Sb -2.154 6.945 10.861
Sb 0.247 6.303 7.080
Sb -2.388 2.991 8.676
Sb 0.007 2.379 4.951
```

Record 4
The following is a PBE-GGA calculation of an optimized crystal structure of TaTi2Au, from the Alexandria database.

Output
Formation energy from the elements in eV/atom: -0.1302
Volume in Å³/atom: 16.9
Magnetization in μB per atom: 0.000
Energy above the most stable polymorph in this dataset in eV per atom: 0.107
Space-group type: Fm-3m, No. 225

```
4
Lattice="0.000 3.231 3.231 3.231 0.000 3.231 3.231 3.231 0.000" Properties=species:S:1:pos:R:3 pbc="T T T"
Ti 1.616 1.616 1.616
Ti 4.847 4.847 4.847
Au 3.231 3.231 3.231
Ta 0.000 0.000 0.000
```

Record 5
The following is a PBE-GGA calculation of an optimized crystal structure of CaPr5In6, from the Alexandria database.

Output
Formation energy from the elements in eV/atom: -0.4898
Volume in Å³/atom: 29.6
Magnetization in μB per atom: 0.000
Space-group type: Cmmm, No. 65

```
12
Lattice="-4.684 2.772 0.782 -2.379 -1.998 -7.167 -5.862 -5.427 3.459" Properties=species:S:1:pos:R:3 pbc="T T T"
Pr -8.208 -2.744 -0.768
Pr -3.491 -0.837 1.392
Pr -1.189 -0.999 -3.583
Pr -7.056 -1.817 2.848
Pr -4.718 -1.909 -2.159
Ca 0.000 0.000 0.000
In -7.643 -0.988 -3.612
In -6.432 0.029 0.038
In -2.938 0.886 -1.403
In -4.125 -0.112 -4.982
In -6.493 -4.681 -2.964
In -5.282 -3.664 0.685
```

Record 6
The following is a PBE-GGA calculation of an optimized crystal structure of Sr2UMnTe5, from the Alexandria database.

Output
Formation energy without anion corrections in eV per atom: -0.989
Volume in Å³/atom: 33.8
Magnetization in μB per atom: 0.779
Space-group type: Cmc2_1, No. 36

```
18
Lattice="4.494 0.000 0.000 -2.247 9.794 0.000 0.000 0.000 13.836" Properties=species:S:1:pos:R:3 pbc="T T T"
Sr 2.247 7.483 11.433
Sr 0.000 2.254 9.518
Sr 0.000 2.311 4.515
Sr 2.247 7.541 2.600
U 2.247 5.817 7.236
U 0.000 3.978 0.318
Mn 2.247 1.263 12.906
Mn 0.000 8.531 5.989
Te 0.000 7.014 0.119
Te 2.247 3.829 11.982
Te 2.247 0.002 10.590
Te 0.000 5.788 9.327
Te 2.247 8.853 7.467
Te 2.247 2.781 7.036
Te 0.000 5.965 5.064
Te 0.000 9.793 3.672
Te 2.247 4.007 2.410
Te 0.000 0.941 0.549
```

Record 7
The following is a PBE-GGA calculation of an optimized crystal structure of AlP2H2, from the Alexandria database.

Output
Volume in Å³/atom: 10.6
Magnetization in μB per atom: 0.000
Energy above the most stable polymorph in this dataset in eV per atom: 0.000
Space-group type: I4/mmm, No. 139

```
5
Lattice="3.484 0.000 0.000 0.000 3.484 0.000 1.742 1.742 4.364" Properties=species:S:1:pos:R:3 pbc="T T T"
P 1.742 1.742 1.140
P 3.484 3.484 3.224
Al 0.000 0.000 0.000
H 3.484 1.742 2.182
H 1.742 3.484 2.182
```

Record 8
The following is a PBE-GGA calculation of an optimized crystal structure of TbTlBi2O6, from the Alexandria database.

Output
Formation energy without anion corrections in eV per atom: -1.640
Volume in Å³/atom: 16.2
Magnetization in μB per atom: 0.000
Space-group type: R3, No. 146

```
10
Lattice="6.045 0.000 0.000 3.023 5.235 0.000 3.022 1.745 5.104" Properties=species:S:1:pos:R:3 pbc="T T T"
Tb 9.067 5.235 2.954
Tl 3.022 1.745 0.444
Bi 6.044 3.490 2.253
Bi 3.022 1.745 4.748
O 5.078 1.359 1.264
O 4.683 5.392 1.264
O 8.374 3.719 1.263
O 7.018 4.882 3.802
O 6.763 1.951 3.803
O 4.352 3.637 3.802
```

Record 9
The following is a PBE-GGA calculation of an optimized crystal structure of ScRe2Ag, from the Alexandria database.

Output
Formation energy from the elements in eV/atom: 0.3720
Volume in Å³/atom: 16.6
Magnetization in μB per atom: 0.000
Energy above the most stable polymorph in this dataset in eV per atom: 0.331
Space-group type: Cmmm, No. 65

```
4
Lattice="-1.588 2.191 0.296 0.629 -0.943 2.474 7.647 5.520 0.160" Properties=species:S:1:pos:R:3 pbc="T T T"
Ag 5.256 4.764 1.505
Re 0.026 0.019 0.001
Re 3.797 2.741 0.080
Sc 1.432 2.004 1.425
```

Record 10
The following is a PBE-GGA calculation of an optimized crystal structure of Cs2InOsI6, from the Alexandria database.

Output
Formation energy without anion corrections in eV per atom: -0.596
Volume in Å³/atom: 43.3
Magnetization in μB per atom: 0.100
Space-group type: Fm-3m, No. 225

```
10
Lattice="-7.399 1.200 -3.994 -4.132 -1.011 7.351 -5.367 5.995 2.714" Properties=species:S:1:pos:R:3 pbc="T T T"
Cs -9.266 3.645 0.199
Cs -7.632 2.540 5.872
I -5.548 3.314 2.243
I -11.350 2.871 3.828
I -2.618 0.043 0.762
I -8.913 0.147 2.595
I -6.657 0.698 -1.418
I -4.874 -0.509 4.775
Os 0.000 0.000 0.000
In -5.765 0.095 1.679
```

Record 11
The following is a PBE-GGA calculation of an optimized crystal structure of CaIrPb2, from the Alexandria database.

Output
Formation energy from the elements in eV/atom: 0.0484
Volume in Å³/atom: 23.7
Magnetization in μB per atom: 0.000
Space-group type: Pmmm, No. 47

```
4
Lattice="4.538 0.000 0.000 0.000 4.618 0.000 0.000 0.000 4.521" Properties=species:S:1:pos:R:3 pbc="T T T"
Pb 0.000 0.000 0.000
Pb 2.269 2.309 0.000
Ca 2.269 0.000 2.260
Ir 0.000 2.309 2.260
```

Record 12
The following is a PBE-GGA calculation of an optimized crystal structure of KBa2Cd2, from the Alexandria database.

Output
Formation energy from the elements in eV/atom: -0.1306
Volume in Å³/atom: 43.2
Magnetization in μB per atom: 0.000
Energy above the most stable polymorph in this dataset in eV per atom: 0.052
Space-group type: P4/mbm, No. 127

```
10
Lattice="-7.629 -1.121 6.754 -2.089 -9.249 -3.894 2.614 -1.713 2.668" Properties=species:S:1:pos:R:3 pbc="T T T"
K 0.000 0.000 0.000
K -4.859 -5.185 1.430
Ba -4.564 -8.381 -0.911
Ba -7.910 -6.865 3.340
Ba -5.153 -1.989 3.771
Ba -1.808 -3.505 -0.480
Cd -1.232 -7.077 -0.173
Cd -5.448 -9.416 2.455
Cd -5.871 -5.007 5.701
Cd -1.655 -2.667 3.073
```

What is the formula in the twelfth record?
KBa2Cd2